No. 1
Below is crystalline CeTh2Cu at its relaxed geometry, with properties calculated at the PBE level.

abc: 3.5597 3.5597 8.4803
angles: 90.00 90.00 90.00
Last column: nearest neighbours and their distance in Å.
Element x y z (fractional)
1 Th 0.0000 0.0000 0.2124  4 Cu 3.10
2 Th 0.0000 0.0000 0.7876  4 Cu 3.10
3 Ce 0.5000 0.5000 0.5000  8 Th 3.50, 4 Ce 3.56
4 Cu 0.5000 0.5000 0.0000  8 Th 3.10

Summary:
The mass density is 10.3 g/cm³. The value obtained for the size of the total moment is 0.01 μB/f.u. Its density of states at the Fermi level is 1.334 states/eV per atom. The value obtained for the volume is 107 Å³ per cell. The value obtained for the final energy is -24.820 eV/cell. The energy above the most stable polymorph in this dataset comes out at 0.000 eV per atom. As for the space-group type: No. 123.

***

No. 2
Below is crystalline CrSb2Cl at its relaxed geometry, with properties calculated at the PBE level.

abc: 5.1114 5.1114 5.1114
angles: 120.03 120.03 89.95
Last column: nearest neighbours and their distance in Å.
Element x y z (fractional)
1 Cr 0.7500 0.2500 0.5000  4 Sb 3.13, 4 Cl 3.13
2 Cl 0.5000 0.5000 0.0000  4 Cr 3.13, 4 Sb 3.13
3 Sb 0.2500 0.7500 0.5000  4 Cl 3.13, 4 Sb 3.13
4 Sb 0.0000 0.0000 0.0000  4 Cr 3.13, 4 Sb 3.13

Summary:
The mass density is 5.8 g/cm³. The value obtained for the size of the total moment is 4.59 μB/f.u. Its density of states at the Fermi level is 0.557 states/eV per atom. The value obtained for the volume is 94 Å³ per cell. The value obtained for the final energy is -18.677 eV/cell. The energy above the most stable polymorph in this dataset comes out at 0.364 eV per atom. As for the raw formation energy: 259 meV per atom. As for the space-group type: No. 216.

***

No. 3
Below is crystalline ErNi6B2 at its relaxed geometry, with properties calculated at the PBE level.

abc: 3.5244 3.5244 7.9663
angles: 90.00 90.00 90.00
Last column: nearest neighbours and their distance in Å.
Element x y z (fractional)
1 Ni 0.0000 0.5000 0.2744  2 B 2.09
2 Ni 0.5000 0.0000 0.7256  2 B 2.09
3 Ni 0.5000 0.0000 0.2744  2 B 2.09
4 Ni 0.5000 0.5000 0.5000  12 Ni 2.49-2.52
5 Ni 0.0000 0.5000 0.7256  2 B 2.09
6 Ni 0.0000 0.0000 0.5000  12 Ni 2.49-2.52
7 B 0.5000 0.5000 0.1332  4 Ni 2.09, 1 B 2.12
8 B 0.5000 0.5000 0.8668  4 Ni 2.09, 1 B 2.12
9 Er 0.0000 0.0000 0.0000  8 B 2.71, 8 Ni 2.81

Summary:
The mass density is 9.1 g/cm³. The value obtained for the size of the total moment is 0.00 μB/f.u. Its density of states at the Fermi level is 0.767 states/eV per atom. The value obtained for the volume is 99 Å³ per cell. The value obtained for the final energy is -55.470 eV/cell. As for the space-group type: No. 123.

***

No. 4
Below is crystalline HfZnSn2 at its relaxed geometry, with properties calculated at the PBE level.

abc: 7.7533 7.7533 6.2576
angles: 51.72 51.72 90.00
Last column: nearest neighbours and their distance in Å.
Element x y z (fractional)
1 Zn 0.2500 0.7500 0.5000  4 Sn 2.68
2 Zn 0.5000 0.5000 0.0000  4 Sn 2.68
3 Sn 0.1560 0.6250 0.2500  2 Zn 2.68
4 Sn 0.8750 0.8440 0.7500  2 Zn 2.68
5 Sn 0.3750 0.4060 0.7500  2 Zn 2.68
6 Sn 0.5940 0.1250 0.2500  2 Zn 2.68
7 Hf 0.0000 0.0000 0.0000  4 Sn 3.01, 2 Zn 3.02
8 Hf 0.7500 0.2500 0.5000  4 Sn 3.01, 2 Zn 3.02

Summary:
The mass density is 8.8 g/cm³. The value obtained for the size of the total moment is 0.00 μB/f.u. Its density of states at the Fermi level is 0.351 states/eV per atom. The value obtained for the volume is 181 Å³ per cell. The value obtained for the final energy is -37.327 eV/cell. As for the space-group type: No. 122.

***

No. 5
Below is crystalline BaMnGe2Br8 at its relaxed geometry, with properties calculated at the PBE level.

abc: 7.8106 6.5026 8.4894
angles: 101.06 92.40 78.73
Last column: nearest neighbours and their distance in Å.
Element x y z (fractional)
1 Ge 0.6381 0.5728 0.2229  3 Br 2.47-2.66
2 Ge 0.3619 0.4272 0.7771  3 Br 2.47-2.66
3 Br 0.3574 0.2790 0.4871  1 Ge 2.47
4 Br 0.0381 0.6474 0.7607  1 Ge 2.66, 1 Mn 2.73
5 Br 0.2288 0.7943 0.1749  1 Mn 2.61
6 Br 0.7297 0.9074 0.1575  1 Ge 2.58, 1 Mn 2.77
7 Br 0.6426 0.7210 0.5129  1 Ge 2.47
8 Br 0.9619 0.3526 0.2393  1 Ge 2.66, 1 Mn 2.73
9 Br 0.2703 0.0926 0.8425  1 Ge 2.58, 1 Mn 2.77
10 Br 0.7712 0.2057 0.8251  1 Mn 2.61
11 Ba 0.0000 0.0000 0.5000  8 Br 3.27-3.63
12 Mn 0.0000 0.0000 0.0000  6 Br 2.61-2.77

Summary:
The mass density is 3.9 g/cm³. The value obtained for the size of the total moment is 5.00 μB/f.u. Its density of states at the Fermi level is 0.000 states/eV per atom. The value obtained for the volume is 415 Å³ per cell. The value obtained for the final energy is -45.332 eV/cell. As for the raw formation energy: -968 meV per atom. As for the space-group type: No. 2.

***

No. 6
Below is crystalline LaCd3Au2 at its relaxed geometry, with properties calculated at the PBE level.

abc: 4.0586 9.0404 9.0398
angles: 65.21 77.03 77.03
Last column: nearest neighbours and their distance in Å.
Element x y z (fractional)
1 Cd 0.6709 0.1211 0.5371  3 Au 2.88-2.89, 2 Cd 3.19
2 Cd 0.0000 0.3541 0.6460  1 Cd 2.84, 4 Au 2.87-3.17
3 Cd 0.6709 0.5372 0.1209  3 Au 2.88-2.89, 2 Cd 3.19
4 Cd 0.0000 0.6459 0.3540  1 Cd 2.84, 4 Au 2.87-3.17
5 Cd 0.3291 0.8789 0.4629  3 Au 2.88-2.89, 2 Cd 3.19
6 Cd 0.3291 0.4628 0.8791  3 Au 2.88-2.89, 2 Cd 3.19
7 Au 0.5000 0.8535 0.1465  1 Au 2.85, 4 Cd 2.87-2.88, 4 La 3.19
8 Au 0.5000 0.1465 0.8535  1 Au 2.85, 4 Cd 2.87-2.88, 4 La 3.19
9 Au 0.8073 0.6926 0.6927  6 Cd 2.89-3.17, 2 La 3.22
10 Au 0.1927 0.3074 0.3073  6 Cd 2.89-3.17, 2 La 3.22
11 La 0.1370 0.8630 0.8630  6 Au 3.19-3.22, 6 Cd 3.47-3.53
12 La 0.8630 0.1370 0.1370  6 Au 3.19-3.22, 6 Cd 3.47-3.53

Summary:
The mass density is 10.0 g/cm³. The value obtained for the size of the total moment is 0.00 μB/f.u. Its density of states at the Fermi level is 0.575 states/eV per atom. The value obtained for the volume is 290 Å³ per cell. The value obtained for the final energy is -33.572 eV/cell. As for the space-group type: No. 71.

***

No. 7
Below is crystalline KMn2Pb at its relaxed geometry, with properties calculated at the PBE level.

abc: 4.3778 4.7881 4.7881
angles: 90.00 90.00 90.00
Last column: nearest neighbours and their distance in Å.
Element x y z (fractional)
1 Mn 0.0000 0.0000 0.0000  4 Pb 3.24, 4 K 3.24, 4 Mn 3.39
2 Mn 0.0000 0.5000 0.5000  4 Pb 3.24, 4 K 3.24, 4 Mn 3.39
3 Pb 0.5000 0.5000 0.0000  8 Mn 3.24, 4 K 3.39
4 K 0.5000 0.0000 0.5000  8 Mn 3.24, 4 Pb 3.39

Summary:
The mass density is 5.9 g/cm³. The value obtained for the size of the total moment is 8.44 μB/f.u. Its density of states at the Fermi level is 0.681 states/eV per atom. The value obtained for the volume is 100 Å³ per cell. The value obtained for the final energy is -19.878 eV/cell. The energy above the most stable polymorph in this dataset comes out at 0.310 eV per atom. As for the space-group type: No. 123.